{"formula": "TmScSi4", "functional": "GGA-PBE", "state": "optimized geometry", "cell": [[3.7138, 0.0000, 0.0000], [0.0000, 1.9046, 7.6197], [0.0000, -1.9046, 7.6197]], "species": ["Tm", "Sc", "Si", "Si", "Si", "Si"], "fractional_positions": [[0.0000, 0.0000, 0.0000], [0.5000, 0.2081, 0.2081], [0.0000, 0.3506, 0.3506], [0.0000, 0.6642, 0.6642], [0.5000, 0.5658, 0.5658], [0.5000, 0.8480, 0.8480]], "dft_energy_ev_per_atom": -5.922, "magmom_total_mub_per_fu": 0.01, "volume_a3_per_cell": 107.79, "sg": "Amm2"}